The following is a PBE calculation of a relaxed structure of CoPt3, from the Alexandria database.

Results
The formation energy comes out at -0.10 eV per atom. As for the total energy: -6.409 eV/atom. Its space group is P4/mmm, No. 123. For the total moment, the calculation gives 2.998 μB per formula unit.

Cell lengths 2.7402, 2.7402, 7.7825 Å; angles 90.00, 90.00, 90.00 degrees
With the nearest neighbours (Å) after each atom.
Atoms (fractional coordinates):
Co  0.0000  0.0000  0.0000  8 Pt 2.64, 4 Co 2.74
Pt  0.0000  0.0000  0.5000  12 Pt 2.74-2.86
Pt  0.5000  0.5000  0.2303  4 Co 2.64, 8 Pt 2.74-2.86
Pt  0.5000  0.5000  0.7697  4 Co 2.64, 8 Pt 2.74-2.86



The following is a PBE calculation of a relaxed structure of CoPt, from the Alexandria database.

Results
The formation energy comes out at 0.43 eV per atom. As for the total energy: -6.147 eV/atom. Its space group is P6_3/mmc, No. 194. For the total moment, the calculation gives 2.624 μB per formula unit.

Cell lengths 3.7100, 3.7100, 5.4263 Å; angles 90.00, 90.00, 120.00 degrees
With the nearest neighbours (Å) after each atom.
Atoms (fractional coordinates):
Co  0.3333  0.6667  0.2500  6 Pt 2.54
Co  0.6667  0.3333  0.7500  6 Pt 2.54
Pt  0.0000  0.0000  0.0000  6 Co 2.54, 2 Pt 2.71
Pt  0.0000  0.0000  0.5000  6 Co 2.54, 2 Pt 2.71



The following is a PBE calculation of a relaxed structure of Co3Pt4, from the Alexandria database.

Results
The energy relative to the lowest polymorph listed for this composition is 42 meV/atom. The formation energy comes out at 0.05 eV per atom. As for the total energy: -6.450 eV/atom. Its space group is R-3m, No. 166. For the total moment, the calculation gives 7.646 μB per formula unit.

Cell lengths 6.9066, 6.9066, 6.9066 Å; angles 35.87, 35.87, 35.87 degrees
With the nearest neighbours (Å) after each atom.
Atoms (fractional coordinates):
Co  0.0000  0.0000  0.0000  8 Pt 2.56-2.76, 6 Co 2.78
Co  0.2661  0.2661  0.2661  5 Pt 2.46-2.59
Co  0.7339  0.7339  0.7339  5 Pt 2.46-2.59
Pt  0.1323  0.1323  0.1323  5 Co 2.56-2.76, 6 Pt 2.78-2.79
Pt  0.3987  0.3987  0.3987  4 Co 2.46-2.57
Pt  0.6013  0.6013  0.6013  4 Co 2.46-2.57
Pt  0.8677  0.8677  0.8677  5 Co 2.56-2.76, 6 Pt 2.78-2.79



The following is a PBE calculation of a relaxed structure of Co3Pt4, from the Alexandria database.

Results
The energy relative to the lowest polymorph listed for this composition is 63 meV/atom. The formation energy comes out at 0.07 eV per atom. As for the total energy: -6.429 eV/atom. Its space group is I4/mmm, No. 139. For the total moment, the calculation gives 6.995 μB per formula unit.

Cell lengths 10.0431, 10.0431, 10.0431 Å; angles 161.82, 161.82, 25.82 degrees
With the nearest neighbours (Å) after each atom.
Atoms (fractional coordinates):
Co  0.0000  0.0000  0.0000  8 Pt 2.62
Co  0.2812  0.2812  0.0000  5 Pt 2.55-2.61, 4 Co 2.56
Co  0.7188  0.7188  0.0000  5 Pt 2.55-2.61, 4 Co 2.56
Pt  0.1512  0.1512  0.0000  5 Co 2.55-2.61, 4 Pt 2.76
Pt  0.4305  0.4305  0.0000  5 Co 2.62-2.92, 5 Pt 2.72-2.76
Pt  0.5695  0.5695  0.0000  5 Co 2.62-2.92, 5 Pt 2.72-2.76
Pt  0.8488  0.8488  0.0000  5 Co 2.55-2.61, 4 Pt 2.76



The following is a PBE calculation of a relaxed structure of CoPt, from the Alexandria database.

Results
The formation energy comes out at 0.11 eV per atom. As for the total energy: -6.461 eV/atom. Its space group is I4/mmm, No. 139. For the total moment, the calculation gives 2.174 μB per formula unit.

Cell lengths 5.9313, 5.9313, 5.9313 Å; angles 95.43, 95.43, 144.17 degrees
With the nearest neighbours (Å) after each atom.
Atoms (fractional coordinates):
Co  0.0000  0.3481  0.3481  5 Co 2.42-2.50, 6 Pt 2.68
Co  0.0000  0.6519  0.6519  5 Co 2.42-2.50, 6 Pt 2.68
Co  0.3481  0.0000  0.3481  5 Co 2.42-2.50, 6 Pt 2.68
Co  0.6519  0.0000  0.6519  5 Co 2.42-2.50, 6 Pt 2.68
Pt  0.3352  0.3352  0.6704  4 Pt 2.63-2.65, 6 Co 2.68
Pt  0.3352  0.6648  0.0000  4 Pt 2.63-2.65, 6 Co 2.68
Pt  0.6648  0.3352  0.0000  4 Pt 2.63-2.65, 6 Co 2.68
Pt  0.6648  0.6648  0.3296  4 Pt 2.63-2.65, 6 Co 2.68



The following is a PBE calculation of a relaxed structure of Co4Pt, from the Alexandria database.

Results
The energy relative to the lowest polymorph listed for this composition is 0 meV/atom. The formation energy comes out at -0.04 eV per atom. As for the total energy: -6.932 eV/atom. Its space group is I4/m, No. 87. For the total moment, the calculation gives 7.056 μB per formula unit.

Cell lengths 4.4489, 4.4489, 4.4489 Å; angles 99.59, 99.59, 131.81 degrees
With the nearest neighbours (Å) after each atom.
Atoms (fractional coordinates):
Co  0.0944  0.6922  0.7866  9 Co 2.46-2.63, 3 Pt 2.58-2.59
Co  0.3078  0.0944  0.4022  9 Co 2.46-2.63, 3 Pt 2.58-2.59
Co  0.6922  0.9056  0.5978  9 Co 2.46-2.63, 3 Pt 2.58-2.59
Co  0.9056  0.3078  0.2134  9 Co 2.46-2.63, 3 Pt 2.58-2.59
Pt  0.5000  0.5000  0.0000  12 Co 2.58-2.59



The following is a PBE calculation of a relaxed structure of Co5Pt4, from the Alexandria database.

Results
The energy relative to the lowest polymorph listed for this composition is 0 meV/atom. The formation energy comes out at -0.09 eV per atom. As for the total energy: -6.724 eV/atom. Its space group is I4/mmm, No. 139. For the total moment, the calculation gives 10.879 μB per formula unit.

Cell lengths 5.9253, 5.9253, 5.9253 Å; angles 95.86, 95.86, 142.73 degrees
With the nearest neighbours (Å) after each atom.
Atoms (fractional coordinates):
Co  0.0000  0.0000  0.0000  4 Pt 2.54, 8 Co 2.60
Co  0.3419  0.3419  0.6838  6 Co 2.51-2.80, 6 Pt 2.61-2.72
Co  0.3419  0.6581  0.0000  6 Co 2.51-2.80, 6 Pt 2.61-2.72
Co  0.6581  0.3419  0.0000  6 Co 2.51-2.80, 6 Pt 2.61-2.72
Co  0.6581  0.6581  0.3162  6 Co 2.51-2.80, 6 Pt 2.61-2.72
Pt  0.0000  0.3195  0.3195  7 Co 2.54-2.72, 4 Pt 2.77
Pt  0.0000  0.6805  0.6805  7 Co 2.54-2.72, 4 Pt 2.77
Pt  0.3195  0.0000  0.3195  7 Co 2.54-2.72, 4 Pt 2.77
Pt  0.6805  0.0000  0.6805  7 Co 2.54-2.72, 4 Pt 2.77



The following is a PBE calculation of a relaxed structure of Co5Pt4, from the Alexandria database.

Results
The energy relative to the lowest polymorph listed for this composition is 141 meV/atom. The formation energy comes out at 0.05 eV per atom. As for the total energy: -6.584 eV/atom. Its space group is P6_3/mcm, No. 193. For the total moment, the calculation gives 11.179 μB per formula unit.

Cell lengths 7.3584, 7.3584, 5.2127 Å; angles 90.00, 90.00, 120.00 degrees
With the nearest neighbours (Å) after each atom.
Atoms (fractional coordinates):
Co  0.0000  0.3322  0.2500  5 Pt 2.39-2.61
Co  0.0000  0.6678  0.7500  5 Pt 2.39-2.61
Co  0.3322  0.0000  0.2500  5 Pt 2.39-2.61
Co  0.3322  0.3322  0.7500  5 Pt 2.39-2.61
Co  0.3333  0.6667  0.0000  8 Co 2.61-2.78, 6 Pt 2.75
Co  0.3333  0.6667  0.5000  8 Co 2.61-2.78, 6 Pt 2.75
Co  0.6667  0.3333  0.0000  8 Co 2.61-2.78, 6 Pt 2.75
Co  0.6667  0.3333  0.5000  8 Co 2.61-2.78, 6 Pt 2.75
Co  0.6678  0.0000  0.7500  5 Pt 2.39-2.61
Co  0.6678  0.6678  0.2500  5 Pt 2.39-2.61
Pt  0.0000  0.0000  0.0000  8 Pt 2.61-2.84, 6 Co 2.77
Pt  0.0000  0.0000  0.5000  8 Pt 2.61-2.84, 6 Co 2.77
Pt  0.0000  0.3424  0.7500  5 Co 2.39-2.61
Pt  0.0000  0.6576  0.2500  5 Co 2.39-2.61
Pt  0.3424  0.0000  0.7500  5 Co 2.39-2.61
Pt  0.3424  0.3424  0.2500  5 Co 2.39-2.61
Pt  0.6576  0.0000  0.2500  5 Co 2.39-2.61
Pt  0.6576  0.6576  0.7500  5 Co 2.39-2.61



Which of these has the lowest formation energy?
CoPt3



Which value of formation energy does entry 2 give?
0.43 eV per atom



Which formula does entry 6 have?
Co4Pt